No. 1
The following is a GGA-PBE calculation of crystalline AlNiPt2 at its relaxed geometry, from Alexandria.

```
data_AlNiPt2
_cell_length_a 5.1932
_cell_length_b 5.1932
_cell_length_c 5.1932
_cell_angle_alpha 148.25
_cell_angle_beta 130.14
_cell_angle_gamma 60.32
_symmetry_space_group_name_H-M 'P 1'
_symmetry_Int_Tables_number 1
loop_
_symmetry_equiv_pos_as_xyz
'x,y,z'
loop_
_atom_site_label
_atom_site_type_symbol
_atom_site_fract_x
_atom_site_fract_y
_atom_site_fract_z
_atom_site_occupancy
Al1 Al 0.0000 0.0000 0.0000 1
Ni1 Ni 0.2237 0.7237 0.5000 1
Pt1 Pt 0.4804 0.4804 0.0000 1
Pt2 Pt 0.7601 0.2601 0.5000 1
```

Summary:
ΔE_f: -0.549 eV/atom
Raw total energy: -5.951 eV per atom
Space group: Imm2, No. 44
Fermi-level density of states: 2.59 states/eV/f.u.

No. 2
The following is a GGA-PBE calculation of crystalline Ti2PtW at its relaxed geometry, from Alexandria.

```
data_Ti2PtW
_cell_length_a 9.5752
_cell_length_b 9.5752
_cell_length_c 9.5752
_cell_angle_alpha 156.53
_cell_angle_beta 156.53
_cell_angle_gamma 33.43
_symmetry_space_group_name_H-M 'P 1'
_symmetry_Int_Tables_number 1
loop_
_symmetry_equiv_pos_as_xyz
'x,y,z'
loop_
_atom_site_label
_atom_site_type_symbol
_atom_site_fract_x
_atom_site_fract_y
_atom_site_fract_z
_atom_site_occupancy
Ti1 Ti 0.1210 0.6250 0.9960 1
Ti2 Ti 0.3750 0.3710 0.4960 1
Ti3 Ti 0.6290 0.1250 0.0040 1
Ti4 Ti 0.8750 0.8790 0.5040 1
Pt1 Pt 0.2500 0.7500 0.5000 1
Pt2 Pt 0.5000 0.5000 0.0000 1
W1 W 0.0000 0.0000 0.0000 1
W2 W 0.7500 0.2500 0.5000 1
```

Summary:
ΔE_f: 0.298 eV/atom
Raw total energy: -8.398 eV per atom
Space group: I-42d, No. 122
Fermi-level density of states: 7.01 states/eV/f.u.

No. 3
The following is a GGA-PBE calculation of crystalline Tb3Sc2Au3 at its relaxed geometry, from Alexandria.

```
data_Tb3Sc2Au3
_cell_length_a 10.9874
_cell_length_b 10.9874
_cell_length_c 10.9874
_cell_angle_alpha 161.27
_cell_angle_beta 153.32
_cell_angle_gamma 32.80
_symmetry_space_group_name_H-M 'P 1'
_symmetry_Int_Tables_number 1
loop_
_symmetry_equiv_pos_as_xyz
'x,y,z'
loop_
_atom_site_label
_atom_site_type_symbol
_atom_site_fract_x
_atom_site_fract_y
_atom_site_fract_z
_atom_site_occupancy
Tb1 Tb 0.0000 0.0000 0.0000 1
Tb2 Tb 0.3783 0.8783 0.5000 1
Tb3 Tb 0.6217 0.1217 0.5000 1
Sc1 Sc 0.2331 0.2331 0.0000 1
Sc2 Sc 0.7669 0.7669 0.0000 1
Au1 Au 0.1282 0.6282 0.5000 1
Au2 Au 0.5000 0.5000 0.0000 1
Au3 Au 0.8718 0.3718 0.5000 1
```

Summary:
ΔE_f: -0.638 eV/atom
Raw total energy: -5.187 eV per atom
Space group: Immm, No. 71
Fermi-level density of states: 6.78 states/eV/f.u.